Record 1
Crystalline Ce3Pd at its relaxed geometry, computed with PBE-GGA.

Its distance to the lowest polymorph of the same formula is 124.1 meV per atom. As for the total magnetization: 0.90 μB per cell. For the formation energy, the calculation gives -0.173 eV per atom. Its raw total energy is -5.922 eV/atom.

a b c (Å): 5.9704 5.9704 5.9704
angles (deg): 137.63 137.63 61.47
With the nearest neighbours (Å) after each atom.
Sites, in units of the cell vectors:
Ce1 0.0000 0.0000 0.0000  4 Pd 3.05, 8 Ce 3.35
Ce2 0.2500 0.7500 0.5000  8 Ce 3.05-3.35, 4 Pd 3.35
Ce3 0.7500 0.2500 0.5000  8 Ce 3.05-3.35, 4 Pd 3.35
Pd1 0.5000 0.5000 0.0000  12 Ce 3.05-3.35

Record 2
Crystalline Rb2GaWI6 at its relaxed geometry, computed with PBE-GGA.

As for the total magnetization: 3.00 μB per cell. The calculation puts the uncorrected formation energy at -571 kJ/mol of formula units. Its raw total energy is -3.313 eV/atom.

a b c (Å): 8.4515 8.4515 8.4515
angles (deg): 60.00 60.00 60.00
With the nearest neighbours (Å) after each atom.
Sites, in units of the cell vectors:
Rb1 0.2500 0.2500 0.2500  12 I 4.23
Rb2 0.7500 0.7500 0.7500  12 I 4.23
Ga1 0.0000 0.0000 0.0000  6 I 3.16
W1 0.5000 0.5000 0.5000  6 I 2.81
I1 0.2647 0.2647 0.7353  1 W 2.81
I2 0.2647 0.7353 0.2647  1 W 2.81
I3 0.2647 0.7353 0.7353  1 W 2.81
I4 0.7353 0.2647 0.2647  1 W 2.81
I5 0.7353 0.2647 0.7353  1 W 2.81
I6 0.7353 0.7353 0.2647  1 W 2.81

Record 3
Crystalline NdY3Er4 at its relaxed geometry, computed with PBE-GGA.

Its distance to the lowest polymorph of the same formula is 0.0 meV per atom. As for the total magnetization: 0.00 μB per cell. For the formation energy, the calculation gives 0.006 eV per atom. Its raw total energy is -5.296 eV/atom.

a b c (Å): 11.2639 7.2797 6.2764
angles (deg): 90.00 90.00 90.00
With the nearest neighbours (Å) after each atom.
Sites, in units of the cell vectors:
Nd1 0.0000 0.1282 0.0000  6 Er 3.52-3.69, 6 Y 3.52-3.65
Nd2 0.5000 0.8718 0.5000  6 Er 3.52-3.69, 6 Y 3.52-3.65
Y1 0.0000 0.8725 0.4990  6 Er 3.50-3.68, 4 Y 3.52-3.53, 2 Nd 3.64-3.65
Y2 0.2504 0.1277 0.3363  6 Er 3.51-3.68, 4 Y 3.52-3.65, 2 Nd 3.52-3.53
Y3 0.2496 0.8723 0.8363  6 Er 3.51-3.68, 4 Y 3.52-3.65, 2 Nd 3.52-3.53
Y4 0.5000 0.1275 0.9990  6 Er 3.50-3.68, 4 Y 3.52-3.53, 2 Nd 3.64-3.65
Y5 0.7496 0.1277 0.3363  6 Er 3.51-3.68, 4 Y 3.52-3.65, 2 Nd 3.52-3.53
Y6 0.7504 0.8723 0.8363  6 Er 3.51-3.68, 4 Y 3.52-3.65, 2 Nd 3.52-3.53
Er1 0.0000 0.3778 0.5042  6 Er 3.48-3.61, 4 Y 3.52-3.68, 2 Nd 3.60-3.65
Er2 0.0000 0.6218 0.0032  6 Er 3.49-3.61, 4 Y 3.51-3.65, 2 Nd 3.59-3.69
Er3 0.2487 0.6223 0.3351  6 Er 3.48-3.61, 5 Y 3.50-3.68, 1 Nd 3.52
Er4 0.2513 0.3777 0.8351  6 Er 3.48-3.61, 5 Y 3.50-3.68, 1 Nd 3.52
Er5 0.5000 0.3782 0.5032  6 Er 3.49-3.61, 4 Y 3.51-3.65, 2 Nd 3.59-3.69
Er6 0.5000 0.6222 0.0042  6 Er 3.48-3.61, 4 Y 3.52-3.68, 2 Nd 3.60-3.65
Er7 0.7487 0.3777 0.8351  6 Er 3.48-3.61, 5 Y 3.50-3.68, 1 Nd 3.52
Er8 0.7513 0.6223 0.3351  6 Er 3.48-3.61, 5 Y 3.50-3.68, 1 Nd 3.52

Record 4
Crystalline Ac2TbBe2O6 at its relaxed geometry, computed with PBE-GGA.

As for the total magnetization: 0.00 μB per cell. The calculation puts the uncorrected formation energy at -3040 kJ/mol of formula units. Its raw total energy is -7.414 eV/atom.

a b c (Å): 5.4288 5.4288 8.7970
angles (deg): 90.00 90.00 120.00
With the nearest neighbours (Å) after each atom.
Sites, in units of the cell vectors:
Ac1 0.3333 0.6667 0.2708  3 O 2.32
Ac2 0.6667 0.3333 0.7292  3 O 2.32
Tb1 0.0000 0.0000 0.0000  6 O 2.30
Be1 0.3333 0.6667 0.8432  3 O 1.55
Be2 0.6667 0.3333 0.1568  3 O 1.55
O1 0.0698 0.7062 0.8398  1 Be 1.55
O2 0.2938 0.3636 0.8398  1 Be 1.55
O3 0.3636 0.0698 0.1602  1 Be 1.55
O4 0.6364 0.9302 0.8398  1 Be 1.55
O5 0.7062 0.6364 0.1602  1 Be 1.55
O6 0.9302 0.2938 0.1602  1 Be 1.55

Record 5
Crystalline Pu2Cu2PdS6 at its relaxed geometry, computed with PBE-GGA.

As for the total magnetization: 9.76 μB per cell. The calculation puts the uncorrected formation energy at -581 kJ/mol of formula units. Its raw total energy is -6.621 eV/atom.

a b c (Å): 7.1454 7.1454 7.1454
angles (deg): 56.63 56.63 56.63
With the nearest neighbours (Å) after each atom.
Sites, in units of the cell vectors:
Pu1 0.2085 0.2085 0.2085  3 S 2.75
Pu2 0.7915 0.7915 0.7915  3 S 2.75
Cu1 0.4134 0.4134 0.4134  3 S 2.16
Cu2 0.5866 0.5866 0.5866  3 S 2.16
Pd1 0.0000 0.0000 0.0000  6 S 2.40
S1 0.2093 0.7587 0.7587  1 Cu 2.16, 1 Pd 2.40
S2 0.2413 0.2413 0.7907  1 Cu 2.16, 1 Pd 2.40
S3 0.2413 0.7907 0.2413  1 Cu 2.16, 1 Pd 2.40
S4 0.7587 0.2093 0.7587  1 Cu 2.16, 1 Pd 2.40
S5 0.7587 0.7587 0.2093  1 Cu 2.16, 1 Pd 2.40
S6 0.7907 0.2413 0.2413  1 Cu 2.16, 1 Pd 2.40

Record 6
Crystalline RhSBrN2 at its relaxed geometry, computed with PBE-GGA.

Its distance to the lowest polymorph of the same formula is 0.0 meV per atom. As for the total magnetization: 0.00 μB per cell. The calculation puts the uncorrected formation energy at 574 kJ/mol of formula units. Its raw total energy is -4.770 eV/atom.

a b c (Å): 3.7899 3.7899 5.5415
angles (deg): 90.00 90.00 90.00
With the nearest neighbours (Å) after each atom.
Sites, in units of the cell vectors:
Rh1 0.0000 0.0000 0.0000  4 N 1.89
S1 0.0000 0.0000 0.5000  4 Br 2.68, 2 Rh 2.77
Br1 0.5000 0.5000 0.5000  4 S 2.68
N1 0.0000 0.5000 0.0000  2 Rh 1.89
N2 0.5000 0.0000 0.0000  2 Rh 1.89